The following is a DFT calculation (PBE+U) of a relaxed structure of Rb3NiO2.

Cell lengths 6.351, 6.351, 14.836 Å; angles 90.00, 90.00, 90.00 degrees
Atoms (fractional coordinates):
Rb1 0.015 0.482 0.125
Rb2 0.018 0.515 0.375
Rb3 0.035 0.035 0.500
Rb4 0.465 0.535 0.750
Rb5 0.482 0.015 0.875
Rb6 0.485 0.982 0.125
Rb7 0.515 0.018 0.625
Rb8 0.518 0.985 0.375
Rb9 0.535 0.465 0.250
Rb10 0.965 0.965 0.000
Rb11 0.982 0.485 0.875
Rb12 0.985 0.518 0.625
Ni1 0.004 0.996 0.250
Ni2 0.496 0.496 0.000
Ni3 0.504 0.504 0.500
Ni4 0.996 0.004 0.750
O1 0.194 0.205 0.742
O2 0.205 0.194 0.258
O3 0.295 0.694 0.992
O4 0.306 0.705 0.508
O5 0.694 0.295 0.008
O6 0.705 0.306 0.492
O7 0.795 0.806 0.758
O8 0.806 0.795 0.242

The mass density is 3.85 g/cm³. As for the total energy: -3.502 eV/atom. Its spin magnetization is 1.00 μB/f.u.